# AlTl3Os | Alexandria via LeMat-Bulk | PBE | optimized geometry
# DOS at the Fermi energy   3.42 states/eV/cell
# Calculated density   9.21 g/cm³
# DFT total energy   -3.73 eV/atom
# Size of the total moment   0.00 μB/cell
data_AlTl3Os
_chemical_formula_sum 'Al1 Tl3 Os1'
_cell_length_a 5.3103
_cell_length_b 5.3103
_cell_length_c 5.3103
_cell_angle_alpha 90.00
_cell_angle_beta 90.00
_cell_angle_gamma 90.00
_space_group_name_H-M_alt 'P m -3 m'
_space_group_IT_number 221
_space_group_name_Hall '-P 4 2 3'
loop_
_atom_site_label
_atom_site_type_symbol
_atom_site_fract_x
_atom_site_fract_y
_atom_site_fract_z
Al1 Al 0.0000 0.0000 0.0000
Tl1 Tl 0.0000 0.5000 0.5000
Os1 Os 0.5000 0.5000 0.5000